No. 1
The following is a DFT calculation (GGA-PBE) of a relaxed Er4Tm5Tl crystal.

Values from the calculation:
E = -43.5 eV per cell
formation enthalpy at 0 K = -0.0485 eV/atom
ΔE to the lowest computed polymorph = 0.000 eV per atom

Lattice parameters (Å, degrees): 3.509 3.509 24.067 90.00 90.00 90.00
Space group P4/mmm (No. 123)
One atom of each set of equivalent atoms:
1 Er 0.000 0.000 0.103 x2
2 Er 0.000 0.000 0.309 x2
3 Tm 0.500 0.500 0.000 x1
4 Tm 0.500 0.500 0.206 x2
5 Tm 0.500 0.500 0.411 x2
6 Tl 0.000 0.000 0.500 x1

No. 2
The following is a DFT calculation (GGA-PBE) of a relaxed Er2Tm6Tl crystal.

Values from the calculation:
E = -76.6 eV per cell
formation enthalpy at 0 K = 0.0006 eV/atom

Lattice parameters (Å, degrees): 16.637 3.464 11.522 90.00 125.39 90.00
Space group C2/m (No. 12)
One atom of each set of equivalent atoms:
1 Er 0.168 0.000 0.319 x4
2 Tm 0.051 0.500 0.753 x4
3 Tm 0.112 0.000 0.553 x4
4 Tm 0.226 0.500 0.109 x4
5 Tl 0.000 0.500 0.000 x2

No. 3
The following is a DFT calculation (GGA-PBE) of a relaxed Er6Tm8Tl crystal.

Values from the calculation:
E = -62.3 eV per cell
formation enthalpy at 0 K = 0.2176 eV/atom

Lattice parameters (Å, degrees): 9.0767 9.0767 6.6392 90.00 90.00 120.00
Space group P-3 (No. 147)
One atom of each set of equivalent atoms:
1 Er 0.0815 0.6832 0.0996 x6
2 Tm 0.0201 0.3372 0.3948 x6
3 Tm 0.3333 0.6667 0.6923 x2
4 Tl 0.0000 0.0000 0.0000 x1

No. 4
The following is a DFT calculation (GGA-PBE) of a relaxed ErTm4Tl4 crystal.

Values from the calculation:
E = -64.3 eV per cell
formation enthalpy at 0 K = -0.0281 eV/atom

Lattice parameters (Å, degrees): 7.723 7.723 9.413 90.00 90.00 90.00
Space group P4_2/nmc (No. 137, origin choice 2)
One atom of each set of equivalent atoms:
1 Er 0.250 0.750 0.250 x2
2 Tm 0.016 0.250 0.149 x8
3 Tl 0.011 0.250 0.479 x8

No. 5
The following is a DFT calculation (GGA-PBE) of a relaxed ErTm9Tl2 crystal.

Values from the calculation:
E = -50.7 eV per cell
formation enthalpy at 0 K = -0.1000 eV/atom

Lattice parameters (Å, degrees): 4.814 4.814 14.736 90.00 90.00 90.00
Space group P4/mmm (No. 123)
One atom of each set of equivalent atoms:
1 Er 0.000 0.000 0.000 x1
2 Tm 0.000 0.500 0.170 x4
3 Tm 0.000 0.500 0.500 x2
4 Tm 0.500 0.500 0.000 x1
5 Tm 0.500 0.500 0.337 x2
6 Tl 0.000 0.000 0.339 x2

No. 6
The following is a DFT calculation (GGA-PBE) of a relaxed ErTm2Tl crystal.

Values from the calculation:
E = -63.4 eV per cell
formation enthalpy at 0 K = 0.0027 eV/atom
ΔE to the lowest computed polymorph = 0.165 eV per atom

Lattice parameters (Å, degrees): 7.642 7.642 7.642 90.00 90.00 90.00
Space group Fm-3m (No. 225)
One atom of each set of equivalent atoms:
1 Er 0.000 0.000 0.000 x4
2 Tm 0.250 0.250 0.250 x8
3 Tl 0.000 0.000 0.500 x4

No. 7
The following is a DFT calculation (GGA-PBE) of a relaxed Er3TmTl crystal.

Values from the calculation:
E = -165.7 eV per cell
formation enthalpy at 0 K = -0.0384 eV/atom
ΔE to the lowest computed polymorph = 0.076 eV per atom

Lattice parameters (Å, degrees): 14.430 13.027 6.476 90.00 103.96 90.00
Space group C2/c (No. 15)
One atom of each set of equivalent atoms:
1 Er 0.097 0.189 0.477 x8
2 Er 0.189 0.312 0.142 x8
3 Er 0.198 0.427 0.643 x8
4 Tm 0.104 0.067 0.959 x8
5 Tl 0.000 0.333 0.750 x4
6 Tl 0.000 0.417 0.250 x4

No. 8
The following is a DFT calculation (GGA-PBE) of a relaxed Er2TmTl4 crystal.

Values from the calculation:
E = -69.9 eV per cell
formation enthalpy at 0 K = -0.0352 eV/atom
ΔE to the lowest computed polymorph = 0.170 eV per atom

Lattice parameters (Å, degrees): 4.8644 4.8644 29.9674 90.00 90.00 120.00
Space group R-3m (No. 166, hexagonal axes)
One atom of each set of equivalent atoms:
1 Er 0.0000 0.0000 0.1291 x6
2 Tm 0.0000 0.0000 0.0000 x3
3 Tl 0.0000 0.0000 0.2426 x6
4 Tl 0.0000 0.0000 0.3810 x6

No. 9
The following is a DFT calculation (GGA-PBE) of a relaxed Er5Tm12Tl2 crystal.

Values from the calculation:
E = -161.4 eV per cell
formation enthalpy at 0 K = 0.0269 eV/atom

Lattice parameters (Å, degrees): 15.324 9.194 8.125 90.00 90.96 90.00
Space group C2/m (No. 12)
One atom of each set of equivalent atoms:
1 Er 0.000 0.000 0.000 x2
2 Er 0.188 0.500 0.501 x4
3 Er 0.237 0.000 0.083 x4
4 Tm 0.052 0.500 0.821 x4
5 Tm 0.090 0.000 0.389 x4
6 Tm 0.125 0.302 0.155 x8
7 Tm 0.153 0.185 0.740 x8
8 Tl 0.000 0.308 0.500 x4

No. 10
The following is a DFT calculation (GGA-PBE) of a relaxed ErTm5Tl6 crystal.

Values from the calculation:
E = -87.8 eV per cell
formation enthalpy at 0 K = -0.2324 eV/atom
ΔE to the lowest computed polymorph = 0.060 eV per atom

Lattice parameters (Å, degrees): 9.842 11.112 6.368 90.00 102.87 90.00
Space group C2/m (No. 12)
One atom of each set of equivalent atoms:
1 Er 0.000 0.000 0.000 x2
2 Tm 0.000 0.167 0.500 x4
3 Tm 0.000 0.334 0.000 x4
4 Tm 0.000 0.500 0.500 x2
5 Tl 0.250 0.000 0.749 x4
6 Tl 0.250 0.167 0.251 x8

No. 11
The following is a DFT calculation (GGA-PBE) of a relaxed ErTm2Tl2 crystal.

Values from the calculation:
E = -39.0 eV per cell
formation enthalpy at 0 K = -0.2561 eV/atom
ΔE to the lowest computed polymorph = 0.005 eV per atom

Lattice parameters (Å, degrees): 3.725 5.330 13.949 90.00 97.70 90.00
Space group P2_1/m (No. 11)
One atom of each set of equivalent atoms:
1 Er 0.150 0.250 0.301 x2
2 Tm 0.049 0.750 0.098 x2
3 Tm 0.239 0.750 0.477 x2
4 Tl 0.356 0.250 0.710 x2
5 Tl 0.451 0.750 0.902 x2

No. 12
The following is a DFT calculation (GGA-PBE) of a relaxed Er5Tm3Tl2 crystal.

Values from the calculation:
E = -83.6 eV per cell
formation enthalpy at 0 K = -0.0819 eV/atom

Lattice parameters (Å, degrees): 6.502 9.692 9.692 105.71 92.64 92.63
Space group P-1 (No. 2)
One atom of each set of equivalent atoms:
1 Er 0.023 0.196 0.292 x2
2 Er 0.114 0.289 0.973 x2
3 Er 0.250 0.967 0.033 x2
4 Er 0.385 0.027 0.711 x2
5 Er 0.477 0.708 0.804 x2
6 Tm 0.097 0.860 0.376 x2
7 Tm 0.250 0.536 0.464 x2
8 Tm 0.404 0.624 0.140 x2
9 Tl 0.103 0.478 0.765 x2
10 Tl 0.398 0.234 0.520 x2

No. 13
The following is a DFT calculation (GGA-PBE) of a relaxed Er5Tm3Tl crystal.

Values from the calculation:
E = -139.9 eV per cell
formation enthalpy at 0 K = 0.4036 eV/atom

Lattice parameters (Å, degrees): 11.913 11.252 10.012 90.00 109.44 90.00
Space group C2/m (No. 12)
One atom of each set of equivalent atoms:
1 Er 0.000 0.232 0.000 x4
2 Er 0.181 0.240 0.789 x8
3 Er 0.239 0.000 0.058 x4
4 Er 0.249 0.000 0.409 x4
5 Tm 0.000 0.000 0.183 x4
6 Tm 0.000 0.000 0.500 x2
7 Tm 0.000 0.500 0.000 x2
8 Tm 0.005 0.500 0.672 x4
9 Tl 0.230 0.500 0.267 x4

No. 14
The following is a DFT calculation (GGA-PBE) of a relaxed ErTm2Tl crystal.

Values from the calculation:
E = -32.7 eV per cell
formation enthalpy at 0 K = -0.1222 eV/atom
ΔE to the lowest computed polymorph = 0.040 eV per atom

Lattice parameters (Å, degrees): 4.573 4.726 11.043 90.00 101.88 90.00
Space group P2_1/m (No. 11)
One atom of each set of equivalent atoms:
1 Er 0.192 0.250 0.386 x2
2 Tm 0.057 0.750 0.115 x2
3 Tm 0.434 0.750 0.867 x2
4 Tl 0.336 0.250 0.670 x2

No. 15
The following is a DFT calculation (GGA-PBE) of a relaxed Er2TmTl crystal.

Values from the calculation:
E = -16.6 eV per cell
formation enthalpy at 0 K = -0.1641 eV/atom
ΔE to the lowest computed polymorph = 0.001 eV per atom

Lattice parameters (Å, degrees): 4.803 4.803 4.804 90.00 90.00 90.00
Space group P4/mmm (No. 123)
One atom of each set of equivalent atoms:
1 Er 0.000 0.500 0.000 x2
2 Tm 0.000 0.000 0.500 x1
3 Tl 0.500 0.500 0.500 x1

No. 16
The following is a DFT calculation (GGA-PBE) of a relaxed Er2Tm8Tl crystal.

Values from the calculation:
E = -91.9 eV per cell
formation enthalpy at 0 K = 0.1191 eV/atom
ΔE to the lowest computed polymorph = 0.146 eV per atom

Lattice parameters (Å, degrees): 15.823 5.356 8.004 90.00 91.55 90.00
Space group C2/m (No. 12)
One atom of each set of equivalent atoms:
1 Er 0.240 0.000 0.145 x4
2 Tm 0.071 0.000 0.862 x4
3 Tm 0.086 0.500 0.149 x4
4 Tm 0.095 0.500 0.590 x4
5 Tm 0.217 0.000 0.589 x4
6 Tl 0.000 0.000 0.500 x2

No. 17
The following is a DFT calculation (GGA-PBE) of a relaxed Er4Tm2Tl crystal.

Values from the calculation:
E = -59.0 eV per cell
formation enthalpy at 0 K = 0.0107 eV/atom

Lattice parameters (Å, degrees): 5.556 6.707 11.538 90.00 102.79 90.00
Space group P2_1/m (No. 11)
One atom of each set of equivalent atoms:
1 Er 0.114 0.250 0.145 x2
2 Er 0.219 0.750 0.413 x2
3 Er 0.337 0.510 0.706 x4
4 Tm 0.217 0.250 0.438 x2
5 Tm 0.455 0.750 0.021 x2
6 Tl 0.014 0.750 0.141 x2

No. 18
The following is a DFT calculation (GGA-PBE) of a relaxed Er5TmTl8 crystal.

Values from the calculation:
E = -97.9 eV per cell
formation enthalpy at 0 K = -0.1955 eV/atom

Lattice parameters (Å, degrees): 9.223 9.223 9.187 90.00 90.00 90.00
Space group I-4 (No. 82)
One atom of each set of equivalent atoms:
1 Er 0.000 0.000 0.000 x2
2 Er 0.124 0.247 0.624 x8
3 Tm 0.000 0.500 0.250 x2
4 Tl 0.080 0.333 0.956 x8
5 Tl 0.083 0.170 0.291 x8

No. 19
The following is a DFT calculation (GGA-PBE) of a relaxed Er2Tm8Tl crystal.

Values from the calculation:
E = -95.1 eV per cell
formation enthalpy at 0 K = -0.0266 eV/atom
ΔE to the lowest computed polymorph = 0.000 eV per atom

Lattice parameters (Å, degrees): 19.117 5.468 6.312 90.00 95.34 90.00
Space group C2/m (No. 12)
One atom of each set of equivalent atoms:
1 Er 0.244 0.000 0.334 x4
2 Tm 0.046 0.000 0.270 x4
3 Tm 0.079 0.500 0.597 x4
4 Tm 0.154 0.000 0.802 x4
5 Tm 0.162 0.500 0.124 x4
6 Tl 0.000 0.500 0.000 x2

No. 20
The following is a DFT calculation (GGA-PBE) of a relaxed ErTm5Tl4 crystal.

Values from the calculation:
E = -38.9 eV per cell
formation enthalpy at 0 K = -0.2468 eV/atom

Lattice parameters (Å, degrees): 3.584 3.584 21.349 90.00 90.00 90.00
Space group P4/mmm (No. 123)
One atom of each set of equivalent atoms:
1 Er 0.000 0.000 0.000 x1
2 Tm 0.500 0.500 0.112 x2
3 Tm 0.500 0.500 0.305 x2
4 Tm 0.500 0.500 0.500 x1
5 Tl 0.000 0.000 0.209 x2
6 Tl 0.000 0.000 0.403 x2